This record from OQMD via LeMat-Bulk describes a relaxed structure of SrGdAl. The functional is PBE-GGA.

The structure in extended XYZ format:
```
3
Lattice="0.000 3.781 3.781 3.781 0.000 3.781 3.781 3.781 0.000" Properties=species:S:1:pos:R:3 pbc="T T T"
Sr 5.671 5.671 5.671
Al 0.000 0.000 0.000
Gd 1.890 1.890 1.890
```

Values from the calculation:
For the total energy, the calculation gives -3.27 eV per atom. As for the calculated volume: 108.1 Å³ per cell. Its symmetry is F-43m (216). Its energy above the most stable polymorph in this dataset is 0.0000 eV per atom.